# 1
A relaxed structure of ErAlAu4. Source: Alexandria via LeMat-Bulk, functional PBE-GGA.

Values from the calculation:
The electronic total energy comes out at -4.11 eV per atom. The calculation puts the excess energy over the best structure of this formula in the dataset at 0.006 eV per atom. As for the space group: P-1. The calculated formation energy comes out at -0.54 eV per atom.

The structure in CIF format:
```
data_ErAlAu4
_cell_length_a 3.548
_cell_length_b 3.728
_cell_length_c 8.790
_cell_angle_alpha 84.28
_cell_angle_beta 89.44
_cell_angle_gamma 89.84
_symmetry_space_group_name_H-M 'P 1'
_symmetry_Int_Tables_number 1
_symmetry_space_group_name_Hall 'P 1'
loop_
_atom_site_label
_atom_site_type_symbol
_atom_site_fract_x
_atom_site_fract_y
_atom_site_fract_z
_atom_site_occupancy
Er1 Er 0.000 0.000 0.000 1
Al1 Al 0.500 0.500 0.500 1
Au1 Au 0.004 0.080 0.652 1
Au2 Au 0.498 0.457 0.179 1
Au3 Au 0.502 0.543 0.821 1
Au4 Au 0.996 0.920 0.348 1
```

# 2
A relaxed structure of ErAlAu. Source: Alexandria via LeMat-Bulk, functional PBE-GGA.

Values from the calculation:
The electronic total energy comes out at -4.41 eV per atom. As for the space group: I4mm. The calculated formation energy comes out at -0.55 eV per atom.

The structure in CIF format:
```
data_ErAlAu
_cell_length_a 3.342
_cell_length_b 3.342
_cell_length_c 11.001
_cell_angle_alpha 90.00
_cell_angle_beta 90.00
_cell_angle_gamma 90.00
_symmetry_space_group_name_H-M 'P 1'
_symmetry_Int_Tables_number 1
_symmetry_space_group_name_Hall 'P 1'
loop_
_atom_site_label
_atom_site_type_symbol
_atom_site_fract_x
_atom_site_fract_y
_atom_site_fract_z
_atom_site_occupancy
Er1 Er 0.000 0.000 0.000 1
Er2 Er 0.500 0.500 0.500 1
Al1 Al 0.000 0.000 0.309 1
Al2 Al 0.500 0.500 0.809 1
Au1 Au 0.000 0.000 0.681 1
Au2 Au 0.500 0.500 0.181 1
```

# 3
A relaxed structure of Er2Al5Au3. Source: Alexandria via LeMat-Bulk, functional PBE-GGA.

Values from the calculation:
The electronic total energy comes out at -4.40 eV per atom. The calculation puts the excess energy over the best structure of this formula in the dataset at 0.019 eV per atom. As for the space group: Ibam. The calculated formation energy comes out at -0.63 eV per atom.

The structure in CIF format:
```
data_Er2Al5Au3
_cell_length_a 8.602
_cell_length_b 8.602
_cell_length_c 8.602
_cell_angle_alpha 100.43
_cell_angle_beta 93.67
_cell_angle_gamma 139.01
_symmetry_space_group_name_H-M 'P 1'
_symmetry_Int_Tables_number 1
_symmetry_space_group_name_Hall 'P 1'
loop_
_atom_site_label
_atom_site_type_symbol
_atom_site_fract_x
_atom_site_fract_y
_atom_site_fract_z
_atom_site_occupancy
Er1 Er 0.129 0.241 0.370 1
Er2 Er 0.371 0.741 0.111 1
Er3 Er 0.629 0.259 0.889 1
Er4 Er 0.871 0.759 0.630 1
Al1 Al 0.006 0.750 0.256 1
Al2 Al 0.115 0.644 0.759 1
Al3 Al 0.250 0.250 0.000 1
Al4 Al 0.385 0.144 0.530 1
Al5 Al 0.494 0.750 0.744 1
Al6 Al 0.506 0.250 0.256 1
Al7 Al 0.615 0.856 0.470 1
Al8 Al 0.750 0.750 0.000 1
Al9 Al 0.885 0.356 0.241 1
Al10 Al 0.994 0.250 0.744 1
Au1 Au 0.129 0.867 0.996 1
Au2 Au 0.250 0.750 0.500 1
Au3 Au 0.371 0.367 0.738 1
Au4 Au 0.629 0.633 0.262 1
Au5 Au 0.750 0.250 0.500 1
Au6 Au 0.871 0.133 0.004 1
```

# 4
A relaxed structure of Er4AlAu3. Source: Alexandria via LeMat-Bulk, functional PBE-GGA.

Values from the calculation:
The electronic total energy comes out at -4.73 eV per atom. As for the space group: Pmm2. The calculated formation energy comes out at -0.75 eV per atom.

The structure in CIF format:
```
data_Er4AlAu3
_cell_length_a 3.679
_cell_length_b 4.626
_cell_length_c 11.074
_cell_angle_alpha 90.00
_cell_angle_beta 90.00
_cell_angle_gamma 90.00
_symmetry_space_group_name_H-M 'P 1'
_symmetry_Int_Tables_number 1
_symmetry_space_group_name_Hall 'P 1'
loop_
_atom_site_label
_atom_site_type_symbol
_atom_site_fract_x
_atom_site_fract_y
_atom_site_fract_z
_atom_site_occupancy
Er1 Er 0.000 0.000 0.000 1
Er2 Er 0.000 0.500 0.280 1
Er3 Er 0.500 0.000 0.490 1
Er4 Er 0.500 0.500 0.788 1
Al1 Al 0.000 0.000 0.715 1
Au1 Au 0.000 0.500 0.560 1
Au2 Au 0.500 0.000 0.225 1
Au3 Au 0.500 0.500 0.054 1
```

# 5
A relaxed structure of Er3Al7Au4. Source: Alexandria via LeMat-Bulk, functional PBE-GGA.

Values from the calculation:
The electronic total energy comes out at -4.46 eV per atom. As for the space group: C2/m. The calculated formation energy comes out at -0.67 eV per atom.

The structure in CIF format:
```
data_Er3Al7Au4
_cell_length_a 8.261
_cell_length_b 8.261
_cell_length_c 9.699
_cell_angle_alpha 125.19
_cell_angle_beta 125.19
_cell_angle_gamma 30.20
_symmetry_space_group_name_H-M 'P 1'
_symmetry_Int_Tables_number 1
_symmetry_space_group_name_Hall 'P 1'
loop_
_atom_site_label
_atom_site_type_symbol
_atom_site_fract_x
_atom_site_fract_y
_atom_site_fract_z
_atom_site_occupancy
Er1 Er 0.000 0.000 0.000 1
Er2 Er 0.309 0.309 0.310 1
Er3 Er 0.691 0.691 0.690 1
Al1 Al 0.000 0.000 0.500 1
Al2 Al 0.152 0.152 0.426 1
Al3 Al 0.325 0.325 0.970 1
Al4 Al 0.497 0.497 0.700 1
Al5 Al 0.503 0.503 0.300 1
Al6 Al 0.675 0.675 0.030 1
Al7 Al 0.848 0.848 0.574 1
Au1 Au 0.126 0.126 0.848 1
Au2 Au 0.346 0.346 0.727 1
Au3 Au 0.654 0.654 0.273 1
Au4 Au 0.874 0.874 0.152 1
```

# 6
A relaxed structure of ErAl4Au12. Source: Alexandria via LeMat-Bulk, functional PBE-GGA.

Values from the calculation:
The electronic total energy comes out at -3.63 eV per atom. As for the space group: Im-3. The calculated formation energy comes out at -0.17 eV per atom.

The structure in CIF format:
```
data_ErAl4Au12
_cell_length_a 7.707
_cell_length_b 7.707
_cell_length_c 7.707
_cell_angle_alpha 109.47
_cell_angle_beta 109.47
_cell_angle_gamma 109.47
_symmetry_space_group_name_H-M 'P 1'
_symmetry_Int_Tables_number 1
_symmetry_space_group_name_Hall 'P 1'
loop_
_atom_site_label
_atom_site_type_symbol
_atom_site_fract_x
_atom_site_fract_y
_atom_site_fract_z
_atom_site_occupancy
Er1 Er 0.000 0.000 0.000 1
Al1 Al 0.000 0.000 0.500 1
Al2 Al 0.000 0.500 0.000 1
Al3 Al 0.500 0.000 0.000 1
Al4 Al 0.500 0.500 0.500 1
Au1 Au 0.156 0.341 0.497 1
Au2 Au 0.156 0.659 0.814 1
Au3 Au 0.186 0.844 0.341 1
Au4 Au 0.341 0.186 0.844 1
Au5 Au 0.341 0.497 0.156 1
Au6 Au 0.497 0.156 0.341 1
Au7 Au 0.503 0.844 0.659 1
Au8 Au 0.659 0.503 0.844 1
Au9 Au 0.659 0.814 0.156 1
Au10 Au 0.814 0.156 0.659 1
Au11 Au 0.844 0.341 0.186 1
Au12 Au 0.844 0.659 0.503 1
```

# 7
A relaxed structure of Er8Al2Au. Source: Alexandria via LeMat-Bulk, functional PBE-GGA.

Values from the calculation:
The electronic total energy comes out at -4.57 eV per atom. As for the space group: C2/m. The calculated formation energy comes out at -0.27 eV per atom.

The structure in CIF format:
```
data_Er8Al2Au
_cell_length_a 9.552
_cell_length_b 9.552
_cell_length_c 6.611
_cell_angle_alpha 102.03
_cell_angle_beta 102.03
_cell_angle_gamma 30.33
_symmetry_space_group_name_H-M 'P 1'
_symmetry_Int_Tables_number 1
_symmetry_space_group_name_Hall 'P 1'
loop_
_atom_site_label
_atom_site_type_symbol
_atom_site_fract_x
_atom_site_fract_y
_atom_site_fract_z
_atom_site_occupancy
Er1 Er 0.023 0.023 0.270 1
Er2 Er 0.210 0.210 0.807 1
Er3 Er 0.345 0.345 0.525 1
Er4 Er 0.406 0.406 0.038 1
Er5 Er 0.594 0.594 0.962 1
Er6 Er 0.655 0.655 0.475 1
Er7 Er 0.790 0.790 0.193 1
Er8 Er 0.977 0.977 0.730 1
Al1 Al 0.188 0.188 0.252 1
Al2 Al 0.812 0.812 0.748 1
Au1 Au 0.500 0.500 0.500 1
```

# 8
A relaxed structure of ErAlAu2. Source: Alexandria via LeMat-Bulk, functional PBE-GGA.

Values from the calculation:
The electronic total energy comes out at -4.45 eV per atom. As for the space group: Pnma. The calculated formation energy comes out at -0.73 eV per atom.

The structure in CIF format:
```
data_ErAlAu2
_cell_length_a 7.794
_cell_length_b 7.160
_cell_length_c 5.675
_cell_angle_alpha 90.00
_cell_angle_beta 90.00
_cell_angle_gamma 90.00
_symmetry_space_group_name_H-M 'P 1'
_symmetry_Int_Tables_number 1
_symmetry_space_group_name_Hall 'P 1'
loop_
_atom_site_label
_atom_site_type_symbol
_atom_site_fract_x
_atom_site_fract_y
_atom_site_fract_z
_atom_site_occupancy
Er1 Er 0.045 0.250 0.151 1
Er2 Er 0.455 0.750 0.651 1
Er3 Er 0.545 0.250 0.349 1
Er4 Er 0.955 0.750 0.849 1
Al1 Al 0.110 0.750 0.352 1
Al2 Al 0.390 0.250 0.852 1
Al3 Al 0.610 0.750 0.148 1
Al4 Al 0.890 0.250 0.648 1
Au1 Au 0.182 0.047 0.602 1
Au2 Au 0.182 0.453 0.602 1
Au3 Au 0.318 0.547 0.102 1
Au4 Au 0.318 0.953 0.102 1
Au5 Au 0.682 0.047 0.898 1
Au6 Au 0.682 0.453 0.898 1
Au7 Au 0.818 0.547 0.398 1
Au8 Au 0.818 0.953 0.398 1
```

# 9
A relaxed structure of ErAl3Au3. Source: Alexandria via LeMat-Bulk, functional PBE-GGA.

Values from the calculation:
The electronic total energy comes out at -4.18 eV per atom. The calculation puts the excess energy over the best structure of this formula in the dataset at 0.000 eV per atom. As for the space group: P2_1/m. The calculated formation energy comes out at -0.52 eV per atom.

The structure in CIF format:
```
data_ErAl3Au3
_cell_length_a 7.359
_cell_length_b 4.457
_cell_length_c 8.889
_cell_angle_alpha 90.00
_cell_angle_beta 107.95
_cell_angle_gamma 90.00
_symmetry_space_group_name_H-M 'P 1'
_symmetry_Int_Tables_number 1
_symmetry_space_group_name_Hall 'P 1'
loop_
_atom_site_label
_atom_site_type_symbol
_atom_site_fract_x
_atom_site_fract_y
_atom_site_fract_z
_atom_site_occupancy
Er1 Er 0.209 0.250 0.281 1
Er2 Er 0.791 0.750 0.719 1
Al1 Al 0.119 0.250 0.907 1
Al2 Al 0.220 0.750 0.746 1
Al3 Al 0.460 0.250 0.714 1
Al4 Al 0.540 0.750 0.286 1
Al5 Al 0.780 0.250 0.254 1
Al6 Al 0.881 0.750 0.093 1
Au1 Au 0.026 0.250 0.606 1
Au2 Au 0.230 0.750 0.047 1
Au3 Au 0.394 0.750 0.542 1
Au4 Au 0.606 0.250 0.458 1
Au5 Au 0.770 0.250 0.953 1
Au6 Au 0.974 0.750 0.394 1
```

# 10
A relaxed structure of Er3Al6Au5. Source: Alexandria via LeMat-Bulk, functional PBE-GGA.

Values from the calculation:
The electronic total energy comes out at -4.44 eV per atom. As for the space group: Pmmn. The calculated formation energy comes out at -0.69 eV per atom.

The structure in CIF format:
```
data_Er3Al6Au5
_cell_length_a 4.345
_cell_length_b 12.833
_cell_length_c 9.591
_cell_angle_alpha 90.00
_cell_angle_beta 90.00
_cell_angle_gamma 90.00
_symmetry_space_group_name_H-M 'P 1'
_symmetry_Int_Tables_number 1
_symmetry_space_group_name_Hall 'P 1'
loop_
_atom_site_label
_atom_site_type_symbol
_atom_site_fract_x
_atom_site_fract_y
_atom_site_fract_z
_atom_site_occupancy
Er1 Er 0.250 0.050 0.247 1
Er2 Er 0.250 0.450 0.247 1
Er3 Er 0.250 0.750 0.250 1
Er4 Er 0.750 0.250 0.750 1
Er5 Er 0.750 0.550 0.753 1
Er6 Er 0.750 0.950 0.753 1
Al1 Al 0.250 0.075 0.595 1
Al2 Al 0.250 0.250 0.043 1
Al3 Al 0.250 0.250 0.424 1
Al4 Al 0.250 0.425 0.595 1
Al5 Al 0.250 0.596 0.981 1
Al6 Al 0.250 0.904 0.981 1
Al7 Al 0.750 0.096 0.019 1
Al8 Al 0.750 0.404 0.019 1
Al9 Al 0.750 0.575 0.405 1
Al10 Al 0.750 0.750 0.576 1
Al11 Al 0.750 0.750 0.957 1
Al12 Al 0.750 0.925 0.405 1
Au1 Au 0.250 0.095 0.866 1
Au2 Au 0.250 0.405 0.866 1
Au3 Au 0.250 0.627 0.530 1
Au4 Au 0.250 0.750 0.793 1
Au5 Au 0.250 0.873 0.530 1
Au6 Au 0.750 0.127 0.470 1
Au7 Au 0.750 0.250 0.207 1
Au8 Au 0.750 0.373 0.470 1
Au9 Au 0.750 0.595 0.134 1
Au10 Au 0.750 0.905 0.134 1
```

# 11
A relaxed structure of ErAl2Au8. Source: Alexandria via LeMat-Bulk, functional PBE-GGA.

Values from the calculation:
The electronic total energy comes out at -3.88 eV per atom. As for the space group: C2/m. The calculated formation energy comes out at -0.40 eV per atom.

The structure in CIF format:
```
data_ErAl2Au8
_cell_length_a 7.803
_cell_length_b 7.803
_cell_length_c 6.815
_cell_angle_alpha 107.71
_cell_angle_beta 107.71
_cell_angle_gamma 30.43
_symmetry_space_group_name_H-M 'P 1'
_symmetry_Int_Tables_number 1
_symmetry_space_group_name_Hall 'P 1'
loop_
_atom_site_label
_atom_site_type_symbol
_atom_site_fract_x
_atom_site_fract_y
_atom_site_fract_z
_atom_site_occupancy
Er1 Er 0.000 0.000 0.000 1
Al1 Al 0.280 0.280 0.338 1
Al2 Al 0.720 0.720 0.662 1
Au1 Au 0.110 0.110 0.471 1
Au2 Au 0.180 0.180 0.922 1
Au3 Au 0.348 0.348 0.777 1
Au4 Au 0.458 0.458 0.277 1
Au5 Au 0.542 0.542 0.723 1
Au6 Au 0.652 0.652 0.223 1
Au7 Au 0.820 0.820 0.078 1
Au8 Au 0.890 0.890 0.529 1
```

# 12
A relaxed structure of Er3Al8Au3. Source: Alexandria via LeMat-Bulk, functional PBE-GGA.

Values from the calculation:
The electronic total energy comes out at -4.38 eV per atom. As for the space group: C2/m. The calculated formation energy comes out at -0.56 eV per atom.

The structure in CIF format:
```
data_Er3Al8Au3
_cell_length_a 8.226
_cell_length_b 8.226
_cell_length_c 9.759
_cell_angle_alpha 126.00
_cell_angle_beta 126.00
_cell_angle_gamma 30.64
_symmetry_space_group_name_H-M 'P 1'
_symmetry_Int_Tables_number 1
_symmetry_space_group_name_Hall 'P 1'
loop_
_atom_site_label
_atom_site_type_symbol
_atom_site_fract_x
_atom_site_fract_y
_atom_site_fract_z
_atom_site_occupancy
Er1 Er 0.000 0.000 0.000 1
Er2 Er 0.298 0.298 0.300 1
Er3 Er 0.702 0.702 0.700 1
Al1 Al 0.142 0.142 0.862 1
Al2 Al 0.145 0.145 0.427 1
Al3 Al 0.344 0.344 0.967 1
Al4 Al 0.497 0.497 0.310 1
Al5 Al 0.503 0.503 0.690 1
Al6 Al 0.656 0.656 0.033 1
Al7 Al 0.855 0.855 0.573 1
Al8 Al 0.858 0.858 0.138 1
Au1 Au 0.000 0.000 0.500 1
Au2 Au 0.348 0.348 0.710 1
Au3 Au 0.652 0.652 0.290 1
```